An optimized crystal structure of Y2PbO, computed with GGA-PBE.

M_tot: 0.007 Bohr magnetons per cell
Space group: No. 13
Final energy: -6.9587 eV/atom
Calculated density: 6.5 g/cm³

a = 6.378 Å, b = 6.329 Å, c = 11.185 Å
α = 90.00°, β = 115.00°, γ = 90.00°
Element x y z (fractional)
Y: 0.023 0.235 0.073
Y: 0.023 0.765 0.573
Y: 0.286 0.176 0.829
Y: 0.286 0.824 0.329
Y: 0.714 0.176 0.671
Y: 0.714 0.824 0.171
Y: 0.977 0.235 0.427
Y: 0.977 0.765 0.927
Pb: 0.433 0.321 0.371
Pb: 0.433 0.679 0.871
Pb: 0.567 0.321 0.129
Pb: 0.567 0.679 0.629
O: 0.012 0.105 0.622
O: 0.012 0.895 0.122
O: 0.988 0.105 0.878
O: 0.988 0.895 0.378

=====

An optimized crystal structure of Y12Pb3O5, computed with GGA-PBE.

M_tot: 0.268 Bohr magnetons per cell
Space group: No. 230
Final energy: -7.2408 eV/atom
Calculated density: 6.0 g/cm³

a = 13.615 Å, b = 13.615 Å, c = 13.615 Å
α = 109.47°, β = 109.47°, γ = 109.47°
Element x y z (fractional)
Y: 0.006 0.195 0.106
Y: 0.006 0.311 0.900
Y: 0.089 0.695 0.689
Y: 0.089 0.894 0.400
Y: 0.100 0.606 0.411
Y: 0.100 0.994 0.689
Y: 0.106 0.006 0.195
Y: 0.106 0.600 0.911
Y: 0.189 0.195 0.589
Y: 0.189 0.494 0.600
Y: 0.195 0.106 0.006
Y: 0.195 0.589 0.189
Y: 0.305 0.311 0.911
Y: 0.305 0.494 0.394
Y: 0.311 0.900 0.006
Y: 0.311 0.911 0.305
Y: 0.394 0.305 0.494
Y: 0.394 0.589 0.900
Y: 0.400 0.089 0.894
Y: 0.400 0.811 0.506
Y: 0.411 0.100 0.606
Y: 0.411 0.811 0.805
Y: 0.494 0.394 0.305
Y: 0.494 0.600 0.189
Y: 0.506 0.400 0.811
Y: 0.506 0.606 0.695
Y: 0.589 0.189 0.195
Y: 0.589 0.900 0.394
Y: 0.600 0.189 0.494
Y: 0.600 0.911 0.106
Y: 0.606 0.411 0.100
Y: 0.606 0.695 0.506
Y: 0.689 0.089 0.695
Y: 0.689 0.100 0.994
Y: 0.695 0.506 0.606
Y: 0.695 0.689 0.089
Y: 0.805 0.411 0.811
Y: 0.805 0.894 0.994
Y: 0.811 0.506 0.400
Y: 0.811 0.805 0.411
Y: 0.894 0.400 0.089
Y: 0.894 0.994 0.805
Y: 0.900 0.006 0.311
Y: 0.900 0.394 0.589
Y: 0.911 0.106 0.600
Y: 0.911 0.305 0.311
Y: 0.994 0.689 0.100
Y: 0.994 0.805 0.894
Pb: 0.125 0.250 0.375
Pb: 0.125 0.375 0.750
Pb: 0.250 0.375 0.125
Pb: 0.250 0.875 0.625
Pb: 0.375 0.125 0.250
Pb: 0.375 0.750 0.125
Pb: 0.625 0.250 0.875
Pb: 0.625 0.875 0.750
Pb: 0.750 0.125 0.375
Pb: 0.750 0.625 0.875
Pb: 0.875 0.625 0.250
Pb: 0.875 0.750 0.625
O: 0.000 0.000 0.000
O: 0.000 0.000 0.500
O: 0.000 0.500 0.000
O: 0.000 0.500 0.500
O: 0.125 0.750 0.875
O: 0.125 0.875 0.250
O: 0.250 0.125 0.875
O: 0.250 0.625 0.375
O: 0.375 0.250 0.625
O: 0.375 0.625 0.750
O: 0.500 0.000 0.000
O: 0.500 0.000 0.500
O: 0.500 0.500 0.000
O: 0.500 0.500 0.500
O: 0.625 0.375 0.250
O: 0.625 0.750 0.375
O: 0.750 0.375 0.625
O: 0.750 0.875 0.125
O: 0.875 0.125 0.750
O: 0.875 0.250 0.125

=====

An optimized crystal structure of Y2PbO, computed with GGA-PBE.

M_tot: 0.000 Bohr magnetons per cell
Space group: No. 166
Final energy: -6.9869 eV/atom
Calculated density: 7.8 g/cm³

a = 3.590 Å, b = 3.590 Å, c = 23.090 Å
α = 90.00°, β = 90.00°, γ = 120.00°
Element x y z (fractional)
Y: 0.000 0.000 0.222
Y: 0.000 0.000 0.778
Y: 0.333 0.667 0.444
Y: 0.333 0.667 0.889
Y: 0.667 0.333 0.111
Y: 0.667 0.333 0.556
Pb: 0.000 0.000 0.000
Pb: 0.333 0.667 0.667
Pb: 0.667 0.333 0.333
O: 0.000 0.000 0.500
O: 0.333 0.667 0.167
O: 0.667 0.333 0.833

=====

An optimized crystal structure of Y2PbO, computed with GGA-PBE.

M_tot: 0.000 Bohr magnetons per cell
Space group: No. 129
Final energy: -7.1908 eV/atom
Calculated density: 7.3 g/cm³

a = 4.543 Å, b = 4.543 Å, c = 8.872 Å
α = 90.00°, β = 90.00°, γ = 90.00°
Element x y z (fractional)
Y: 0.250 0.250 0.169
Y: 0.250 0.750 0.500
Y: 0.750 0.250 0.500
Y: 0.750 0.750 0.831
Pb: 0.250 0.250 0.803
Pb: 0.750 0.750 0.197
O: 0.250 0.250 0.428
O: 0.750 0.750 0.572

=====

An optimized crystal structure of YPb2O, computed with GGA-PBE.

M_tot: 0.000 Bohr magnetons per cell
Space group: No. 122
Final energy: -5.5801 eV/atom
Calculated density: 7.8 g/cm³

a = 10.079 Å, b = 10.079 Å, c = 4.347 Å
α = 90.00°, β = 90.00°, γ = 90.00°
Element x y z (fractional)
Y: 0.000 0.000 0.000
Y: 0.000 0.500 0.250
Y: 0.500 0.000 0.750
Y: 0.500 0.500 0.500
Pb: 0.133 0.250 0.625
Pb: 0.250 0.633 0.875
Pb: 0.250 0.867 0.375
Pb: 0.367 0.250 0.125
Pb: 0.633 0.750 0.125
Pb: 0.750 0.133 0.375
Pb: 0.750 0.367 0.875
Pb: 0.867 0.750 0.625
O: 0.000 0.000 0.500
O: 0.000 0.500 0.750
O: 0.500 0.000 0.250
O: 0.500 0.500 0.000

=====

An optimized crystal structure of Y6PbO12, computed with GGA-PBE.

M_tot: 2.073 Bohr magnetons per cell
Space group: No. 148
Final energy: -8.2501 eV/atom
Calculated density: 5.6 g/cm³

a = 6.597 Å, b = 6.597 Å, c = 6.597 Å
α = 99.30°, β = 99.30°, γ = 99.30°
Element x y z (fractional)
Y: 0.108 0.801 0.639
Y: 0.199 0.361 0.892
Y: 0.361 0.892 0.199
Y: 0.639 0.108 0.801
Y: 0.801 0.639 0.108
Y: 0.892 0.199 0.361
Pb: 0.500 0.500 0.500
O: 0.064 0.918 0.321
O: 0.082 0.679 0.936
O: 0.180 0.434 0.559
O: 0.321 0.064 0.918
O: 0.434 0.559 0.180
O: 0.441 0.820 0.566
O: 0.559 0.180 0.434
O: 0.566 0.441 0.820
O: 0.679 0.936 0.082
O: 0.820 0.566 0.441
O: 0.918 0.321 0.064
O: 0.936 0.082 0.679

=====

An optimized crystal structure of Y2PbO, computed with GGA-PBE.

M_tot: 0.000 Bohr magnetons per cell
Space group: No. 122
Final energy: -7.0159 eV/atom
Calculated density: 6.8 g/cm³

a = 7.003 Å, b = 7.003 Å, c = 7.975 Å
α = 90.00°, β = 90.00°, γ = 90.00°
Element x y z (fractional)
Y: 0.144 0.250 0.125
Y: 0.250 0.644 0.375
Y: 0.250 0.856 0.875
Y: 0.356 0.250 0.625
Y: 0.644 0.750 0.625
Y: 0.750 0.144 0.875
Y: 0.750 0.356 0.375
Y: 0.856 0.750 0.125
Pb: 0.000 0.000 0.500
Pb: 0.000 0.500 0.750
Pb: 0.500 0.000 0.250
Pb: 0.500 0.500 0.000
O: 0.000 0.000 0.000
O: 0.000 0.500 0.250
O: 0.500 0.000 0.750
O: 0.500 0.500 0.500

=====

An optimized crystal structure of Y3Pb5O12, computed with GGA-PBE.

M_tot: 0.000 Bohr magnetons per cell
Space group: No. 230
Final energy: -6.5782 eV/atom
Calculated density: 7.7 g/cm³

a = 11.854 Å, b = 11.854 Å, c = 11.854 Å
α = 109.47°, β = 109.47°, γ = 109.47°
Element x y z (fractional)
Y: 0.125 0.250 0.375
Y: 0.125 0.375 0.750
Y: 0.250 0.375 0.125
Y: 0.250 0.875 0.625
Y: 0.375 0.125 0.250
Y: 0.375 0.750 0.125
Y: 0.625 0.250 0.875
Y: 0.625 0.875 0.750
Y: 0.750 0.125 0.375
Y: 0.750 0.625 0.875
Y: 0.875 0.625 0.250
Y: 0.875 0.750 0.625
Pb: 0.000 0.000 0.000
Pb: 0.000 0.000 0.500
Pb: 0.000 0.500 0.000
Pb: 0.000 0.500 0.500
Pb: 0.125 0.750 0.875
Pb: 0.125 0.875 0.250
Pb: 0.250 0.125 0.875
Pb: 0.250 0.625 0.375
Pb: 0.375 0.250 0.625
Pb: 0.375 0.625 0.750
Pb: 0.500 0.000 0.000
Pb: 0.500 0.000 0.500
Pb: 0.500 0.500 0.000
Pb: 0.500 0.500 0.500
Pb: 0.625 0.375 0.250
Pb: 0.625 0.750 0.375
Pb: 0.750 0.375 0.625
Pb: 0.750 0.875 0.125
Pb: 0.875 0.125 0.750
Pb: 0.875 0.250 0.125
O: 0.055 0.223 0.137
O: 0.055 0.332 0.918
O: 0.082 0.637 0.414
O: 0.082 0.945 0.668
O: 0.086 0.723 0.668
O: 0.086 0.863 0.418
O: 0.137 0.055 0.223
O: 0.137 0.582 0.914
O: 0.168 0.223 0.586
O: 0.168 0.445 0.582
O: 0.223 0.137 0.055
O: 0.223 0.586 0.168
O: 0.277 0.332 0.914
O: 0.277 0.445 0.363
O: 0.332 0.914 0.277
O: 0.332 0.918 0.055
O: 0.363 0.277 0.445
O: 0.363 0.586 0.918
O: 0.414 0.082 0.637
O: 0.414 0.832 0.777
O: 0.418 0.086 0.863
O: 0.418 0.832 0.555
O: 0.445 0.363 0.277
O: 0.445 0.582 0.168
O: 0.555 0.418 0.832
O: 0.555 0.637 0.723
O: 0.582 0.168 0.445
O: 0.582 0.914 0.137
O: 0.586 0.168 0.223
O: 0.586 0.918 0.363
O: 0.637 0.414 0.082
O: 0.637 0.723 0.555
O: 0.668 0.082 0.945
O: 0.668 0.086 0.723
O: 0.723 0.555 0.637
O: 0.723 0.668 0.086
O: 0.777 0.414 0.832
O: 0.777 0.863 0.945
O: 0.832 0.555 0.418
O: 0.832 0.777 0.414
O: 0.863 0.418 0.086
O: 0.863 0.945 0.777
O: 0.914 0.137 0.582
O: 0.914 0.277 0.332
O: 0.918 0.055 0.332
O: 0.918 0.363 0.586
O: 0.945 0.668 0.082
O: 0.945 0.777 0.863